Crystalline Hf3InH at its relaxed geometry. Source: the Alexandria database, functional PBE. Values from VASP.

Output
**Space-group type**: P2, No. 3
**Volume**: 179.46 Å³ per cell
**ρ**: 12.05 g cm⁻³
**Total energy**: -74.0 eV per cell

```
&SYSTEM
  ibrav = 0, nat = 10, ntyp = 3
/
ATOMIC_SPECIES
Hf 178.49 Hf.upf
In 114.82 In.upf
H 1.01 H.upf
CELL_PARAMETERS angstrom
5.158 0.000 0.000
0.000 6.815 0.000
-0.854 0.000 5.105
ATOMIC_POSITIONS crystal
Hf 0.245 0.000 0.235
Hf 0.254 0.254 0.752
Hf 0.254 0.742 0.752
Hf 0.746 0.254 0.248
Hf 0.746 0.742 0.248
Hf 0.755 0.000 0.765
In 0.246 0.494 0.249
In 0.754 0.494 0.751
H 0.000 0.909 0.500
H 0.500 0.842 0.500
```

Crystalline HfInH2 at its relaxed geometry. Source: the Alexandria database, functional PBE. Values from VASP.

Output
**Space-group type**: R3m, No. 160
**Volume**: 161.47 Å³ per cell
**Distance to the lowest polymorph of the same formula**: 0 meV/atom
**ρ**: 9.11 g cm⁻³
**Total energy**: -61.4 eV per cell

```
&SYSTEM
  ibrav = 0, nat = 12, ntyp = 3
/
ATOMIC_SPECIES
Hf 178.49 Hf.upf
In 114.82 In.upf
H 1.01 H.upf
CELL_PARAMETERS angstrom
3.342 0.000 0.000
-1.671 2.894 0.000
0.000 0.000 16.693
ATOMIC_POSITIONS crystal
Hf 0.000 0.000 0.000
Hf 0.333 0.667 0.667
Hf 0.667 0.333 0.333
In 0.000 0.000 0.819
In 0.333 0.667 0.486
In 0.667 0.333 0.152
H 0.000 0.000 0.327
H 0.000 0.000 0.626
H 0.333 0.667 0.293
H 0.333 0.667 0.994
H 0.667 0.333 0.661
H 0.667 0.333 0.960
```

Crystalline Hf3InH at its relaxed geometry. Source: the Alexandria database, functional PBE. Values from VASP.

Output
**Space-group type**: P2_1/m, No. 11
**Volume**: 181.82 Å³ per cell
**ρ**: 11.90 g cm⁻³
**Total energy**: -72.8 eV per cell

```
&SYSTEM
  ibrav = 0, nat = 10, ntyp = 3
/
ATOMIC_SPECIES
Hf 178.49 Hf.upf
In 114.82 In.upf
H 1.01 H.upf
CELL_PARAMETERS angstrom
5.344 0.000 0.000
0.000 5.889 0.000
-1.351 0.000 5.778
ATOMIC_POSITIONS crystal
Hf 0.031 0.250 0.131
Hf 0.446 0.001 0.743
Hf 0.446 0.499 0.743
Hf 0.554 0.501 0.257
Hf 0.554 0.999 0.257
Hf 0.969 0.750 0.869
In 0.076 0.750 0.370
In 0.924 0.250 0.630
H 0.386 0.750 0.980
H 0.614 0.250 0.020
```

Crystalline Hf3InH at its relaxed geometry. Source: the Alexandria database, functional PBE. Values from VASP.

Output
**Space-group type**: Pmma, No. 51
**Volume**: 179.61 Å³ per cell
**ρ**: 12.04 g cm⁻³
**Total energy**: -74.0 eV per cell

```
&SYSTEM
  ibrav = 0, nat = 10, ntyp = 3
/
ATOMIC_SPECIES
Hf 178.49 Hf.upf
In 114.82 In.upf
H 1.01 H.upf
CELL_PARAMETERS angstrom
6.654 0.000 0.000
0.000 3.961 0.000
0.000 0.000 6.814
ATOMIC_POSITIONS crystal
Hf 0.001 0.000 0.239
Hf 0.250 0.500 0.497
Hf 0.499 0.000 0.239
Hf 0.501 0.000 0.761
Hf 0.750 0.500 0.503
Hf 0.999 0.000 0.761
In 0.250 0.500 0.001
In 0.750 0.500 0.999
H 0.250 0.000 0.598
H 0.750 0.000 0.402
```

Crystalline Hf3InH at its relaxed geometry. Source: the Alexandria database, functional PBE. Values from VASP.

Output
**Space-group type**: P1, No. 1
**Volume**: 180.54 Å³ per cell
**ρ**: 11.98 g cm⁻³
**Total energy**: -73.9 eV per cell

```
&SYSTEM
  ibrav = 0, nat = 10, ntyp = 3
/
ATOMIC_SPECIES
Hf 178.49 Hf.upf
In 114.82 In.upf
H 1.01 H.upf
CELL_PARAMETERS angstrom
5.062 0.000 0.000
0.035 5.825 0.000
0.092 0.975 6.123
ATOMIC_POSITIONS crystal
Hf 0.000 0.000 0.000
Hf 0.003 0.999 0.503
Hf 0.481 0.693 0.388
Hf 0.489 0.211 0.199
Hf 0.495 0.697 0.887
Hf 0.994 0.488 0.695
In 0.494 0.206 0.705
In 0.990 0.491 0.189
H 0.745 0.951 0.271
H 0.863 0.799 0.783
```

Crystalline Hf3InH at its relaxed geometry. Source: the Alexandria database, functional PBE. Values from VASP.

Output
**Space-group type**: C2/m, No. 12
**Volume**: 180.33 Å³ per cell
**ρ**: 11.99 g cm⁻³
**Total energy**: -74.0 eV per cell

```
&SYSTEM
  ibrav = 0, nat = 10, ntyp = 3
/
ATOMIC_SPECIES
Hf 178.49 Hf.upf
In 114.82 In.upf
H 1.01 H.upf
CELL_PARAMETERS angstrom
5.205 -3.275 0.000
5.205 3.275 0.000
-0.655 0.000 5.290
ATOMIC_POSITIONS crystal
Hf 0.120 0.120 0.280
Hf 0.132 0.614 0.196
Hf 0.386 0.868 0.804
Hf 0.614 0.132 0.196
Hf 0.868 0.386 0.804
Hf 0.880 0.880 0.720
In 0.362 0.362 0.695
In 0.638 0.638 0.305
H 0.158 0.842 0.500
H 0.842 0.158 0.500
```

Crystalline Hf3In3H2 at its relaxed geometry. Source: the Alexandria database, functional PBE. Values from VASP.

Output
**Space-group type**: Cmcm, No. 63
**Volume**: 277.95 Å³ per cell
**ρ**: 10.54 g cm⁻³
**Total energy**: -92.8 eV per cell

```
&SYSTEM
  ibrav = 0, nat = 16, ntyp = 3
/
ATOMIC_SPECIES
Hf 178.49 Hf.upf
In 114.82 In.upf
H 1.01 H.upf
CELL_PARAMETERS angstrom
1.616 -5.682 0.000
1.616 5.682 0.000
0.000 0.000 15.138
ATOMIC_POSITIONS crystal
Hf 0.149 0.851 0.566
Hf 0.149 0.851 0.934
Hf 0.237 0.763 0.250
Hf 0.763 0.237 0.750
Hf 0.851 0.149 0.066
Hf 0.851 0.149 0.434
In 0.031 0.969 0.750
In 0.410 0.590 0.602
In 0.410 0.590 0.898
In 0.590 0.410 0.102
In 0.590 0.410 0.398
In 0.969 0.031 0.250
H 0.301 0.699 0.129
H 0.301 0.699 0.371
H 0.699 0.301 0.629
H 0.699 0.301 0.871
```

Crystalline Hf3InH at its relaxed geometry. Source: the Alexandria database, functional PBE. Values from VASP.

Output
**Space-group type**: C2/m, No. 12
**Volume**: 199.89 Å³ per cell
**ρ**: 10.82 g cm⁻³
**Total energy**: -70.9 eV per cell

```
&SYSTEM
  ibrav = 0, nat = 10, ntyp = 3
/
ATOMIC_SPECIES
Hf 178.49 Hf.upf
In 114.82 In.upf
H 1.01 H.upf
CELL_PARAMETERS angstrom
7.698 -1.570 0.000
7.698 1.570 0.000
-2.277 0.000 8.272
ATOMIC_POSITIONS crystal
Hf 0.011 0.011 0.183
Hf 0.184 0.184 0.082
Hf 0.336 0.336 0.592
Hf 0.664 0.664 0.408
Hf 0.816 0.816 0.918
Hf 0.989 0.989 0.817
In 0.155 0.155 0.707
In 0.845 0.845 0.293
H 0.394 0.394 0.834
H 0.606 0.606 0.166
```

| no. | DOS at the Fermi energy (states/eV/atom) |
| --- | --- |
| 1 | 0.63 |
| 2 | 0.14 |
| 3 | 0.90 |
| 4 | 0.47 |
| 5 | 0.72 |
| 6 | 0.59 |
| 7 | 0.45 |
| 8 | 0.84 |